# Ba3Sr5F12

Ba3Sr5F12 after structural relaxation (PBE-GGA, Alexandria via LeMat-Bulk).

Lattice parameters (Å, degrees): 13.4258 13.4258 13.4258 109.47 109.47 109.47
Closest atoms and distances in Å follow each position.
Positions (direct):
1 Ba 0.2500 0.6250 0.8750  4 F 2.64
2 Ba 0.2500 0.1250 0.3750  4 F 2.64
3 Ba 0.3750 0.7500 0.6250  4 F 2.64
4 Ba 0.8750 0.1250 0.2500  4 F 2.64
5 Ba 0.7500 0.8750 0.6250  4 F 2.64
6 Ba 0.8750 0.7500 0.1250  4 F 2.64
7 Ba 0.1250 0.2500 0.8750  4 F 2.64
8 Ba 0.3750 0.6250 0.2500  4 F 2.64
9 Ba 0.6250 0.3750 0.7500  4 F 2.64
10 Ba 0.6250 0.2500 0.3750  4 F 2.64
11 Ba 0.7500 0.3750 0.1250  4 F 2.64
12 Ba 0.1250 0.8750 0.7500  4 F 2.64
13 F 0.8938 0.8371 0.5419  2 Sr 2.46-2.53, 1 Ba 2.64
14 F 0.6481 0.6062 0.9433  2 Sr 2.46-2.53, 1 Ba 2.64
15 F 0.8371 0.9433 0.2952  2 Sr 2.46-2.53, 1 Ba 2.64
16 F 0.9433 0.1062 0.6481  2 Sr 2.46-2.53, 1 Ba 2.64
17 F 0.7952 0.3371 0.9433  2 Sr 2.46-2.53, 1 Ba 2.64
18 F 0.7952 0.4581 0.3519  2 Sr 2.46-2.53, 1 Ba 2.64
19 F 0.3519 0.9581 0.7952  2 Sr 2.46-2.53, 1 Ba 2.64
20 F 0.5567 0.8519 0.3938  2 Sr 2.46-2.53, 1 Ba 2.64
21 F 0.0419 0.3938 0.8371  2 Sr 2.46-2.53, 1 Ba 2.64
22 F 0.9581 0.3519 0.2952  2 Sr 2.46-2.53, 1 Ba 2.64
23 F 0.1629 0.1062 0.9581  2 Sr 2.46-2.53, 1 Ba 2.64
24 F 0.9433 0.8371 0.7952  2 Sr 2.46-2.53, 1 Ba 2.64
25 F 0.5567 0.7048 0.6629  2 Sr 2.46-2.53, 1 Ba 2.64
26 F 0.3519 0.3938 0.0567  2 Sr 2.46-2.53, 1 Ba 2.64
27 F 0.1062 0.9433 0.1481  2 Sr 2.46-2.53, 1 Ba 2.64
28 F 0.7048 0.1481 0.0419  2 Sr 2.46-2.53, 1 Ba 2.64
29 F 0.4581 0.7952 0.8519  2 Sr 2.46-2.53, 1 Ba 2.64
30 F 0.8519 0.5567 0.8938  2 Sr 2.46-2.53, 1 Ba 2.64
31 F 0.0567 0.1629 0.2048  2 Sr 2.46-2.53, 1 Ba 2.64
32 F 0.5419 0.3371 0.8938  2 Sr 2.46-2.53, 1 Ba 2.64
33 F 0.0419 0.6481 0.7048  2 Sr 2.46-2.53, 1 Ba 2.64
34 F 0.7048 0.5567 0.1629  2 Sr 2.46-2.53, 1 Ba 2.64
35 F 0.6629 0.2048 0.5567  2 Sr 2.46-2.53, 1 Ba 2.64
36 F 0.2952 0.8519 0.9581  2 Sr 2.46-2.53, 1 Ba 2.64
37 F 0.4581 0.6629 0.1062  2 Sr 2.46-2.53, 1 Ba 2.64
38 F 0.1481 0.7048 0.5419  2 Sr 2.46-2.53, 1 Ba 2.64
39 F 0.6062 0.6481 0.4433  2 Sr 2.46-2.53, 1 Ba 2.64
40 F 0.3371 0.5419 0.3938  2 Sr 2.46-2.53, 1 Ba 2.64
41 F 0.5419 0.2048 0.1481  2 Sr 2.46-2.53, 1 Ba 2.64
42 F 0.6062 0.9581 0.6629  2 Sr 2.46-2.53, 1 Ba 2.64
43 F 0.6481 0.0419 0.2048  2 Sr 2.46-2.53, 1 Ba 2.64
44 F 0.2952 0.4433 0.8371  2 Sr 2.46-2.53, 1 Ba 2.64
45 F 0.0567 0.8938 0.3519  2 Sr 2.46-2.53, 1 Ba 2.64
46 F 0.2048 0.6629 0.0567  2 Sr 2.46-2.53, 1 Ba 2.64
47 F 0.1629 0.0567 0.7048  2 Sr 2.46-2.53, 1 Ba 2.64
48 F 0.4433 0.2952 0.3371  2 Sr 2.46-2.53, 1 Ba 2.64
49 F 0.8938 0.0567 0.8519  2 Sr 2.46-2.53, 1 Ba 2.64
50 F 0.6629 0.4581 0.6062  2 Sr 2.46-2.53, 1 Ba 2.64
51 F 0.3938 0.0419 0.3371  2 Sr 2.46-2.53, 1 Ba 2.64
52 F 0.1062 0.1629 0.4581  2 Sr 2.46-2.53, 1 Ba 2.64
53 F 0.2048 0.5419 0.6481  2 Sr 2.46-2.53, 1 Ba 2.64
54 F 0.9581 0.6062 0.1629  2 Sr 2.46-2.53, 1 Ba 2.64
55 F 0.8371 0.8938 0.0419  2 Sr 2.46-2.53, 1 Ba 2.64
56 F 0.1481 0.4433 0.1062  2 Sr 2.46-2.53, 1 Ba 2.64
57 F 0.3371 0.7952 0.4433  2 Sr 2.46-2.53, 1 Ba 2.64
58 F 0.3938 0.3519 0.5567  2 Sr 2.46-2.53, 1 Ba 2.64
59 F 0.8519 0.2952 0.4581  2 Sr 2.46-2.53, 1 Ba 2.64
60 F 0.4433 0.1481 0.6062  2 Sr 2.46-2.53, 1 Ba 2.64
61 Sr 0.7500 0.6250 0.3750  4 F 2.46
62 Sr 0.2500 0.3750 0.6250  4 F 2.46
63 Sr 0.1250 0.3750 0.2500  4 F 2.46
64 Sr 0.7500 0.1250 0.8750  4 F 2.46
65 Sr 0.0000 0.0000 0.0000  6 F 2.53
66 Sr 0.3750 0.1250 0.7500  4 F 2.46
67 Sr 0.8750 0.2500 0.6250  4 F 2.46
68 Sr 0.1250 0.7500 0.3750  4 F 2.46
69 Sr 0.5000 0.5000 0.0000  6 F 2.53
70 Sr 0.5000 0.0000 0.0000  6 F 2.53
71 Sr 0.8750 0.6250 0.7500  4 F 2.46
72 Sr 0.0000 0.5000 0.0000  6 F 2.53
73 Sr 0.3750 0.2500 0.1250  4 F 2.46
74 Sr 0.5000 0.0000 0.5000  6 F 2.53
75 Sr 0.6250 0.8750 0.2500  4 F 2.46
76 Sr 0.5000 0.5000 0.5000  6 F 2.53
77 Sr 0.0000 0.0000 0.5000  6 F 2.53
78 Sr 0.2500 0.8750 0.1250  4 F 2.46
79 Sr 0.0000 0.5000 0.5000  6 F 2.53
80 Sr 0.6250 0.7500 0.8750  4 F 2.46

Results
As for the total energy: -5.18 eV/atom. As for the space group: Ia-3d, No. 230. As for the density of states at the Fermi level: 21.49 states/eV/cell.